CaMo4O9 | GGA+U | optimized geometry

Output
The space group is P4/n (85). The calculation puts the spin magnetization at 0.571 μB per atom. As for the electronic total energy: -7.20 eV per atom.

Cell lengths 8.001, 8.001, 5.157 Å; angles 90.00, 90.00, 90.00 degrees
Each line ends with the local moment (μB).
Fractional positions:
O (0.103, 0.299, 0.503)  0.00
O (0.755, 0.411, 0.984)  0.01
Mo (0.110, 0.790, 0.730)  1.94
Mo (0.790, 0.890, 0.270)  1.94
Mo (0.290, 0.390, 0.730)  1.94
O (0.897, 0.701, 0.503)  0.00
O (0.911, 0.745, 0.984)  0.01
O (0.411, 0.245, 0.016)  0.01
O (0.745, 0.089, 0.016)  0.01
O (0.255, 0.911, 0.016)  0.01
Mo (0.890, 0.210, 0.730)  1.94
O (0.799, 0.397, 0.503)  0.00
O (0.201, 0.603, 0.503)  0.00
O (0.299, 0.897, 0.497)  0.00
Mo (0.390, 0.710, 0.270)  1.94
Ca (0.000, 0.500, 0.217)  0.01
O (0.397, 0.201, 0.497)  0.00
O (0.089, 0.255, 0.984)  0.01
O (0.589, 0.755, 0.016)  0.01
Mo (0.710, 0.610, 0.730)  1.94
O (0.603, 0.799, 0.497)  0.00
O (0.000, 0.000, 0.500)  -0.04
Mo (0.610, 0.290, 0.270)  1.94
O (0.245, 0.589, 0.984)  0.01
O (0.701, 0.103, 0.497)  0.00
O (0.500, 0.500, 0.500)  -0.04
Mo (0.210, 0.110, 0.270)  1.94
Ca (0.500, 0.000, 0.783)  0.01